This record from Alexandria via LeMat-Bulk describes crystalline AgPb2 at its relaxed geometry. The functional is PBE.

Values from the calculation:
Formation enthalpy at 0 K = 0.167 eV per atom
Raw total energy = -3.255 eV per atom
DOS(E_F) = 1.03 states/eV/f.u.

a = 4.9277 Å, b = 4.9277 Å, c = 3.6341 Å
α = 90.00°, β = 90.00°, γ = 90.00°
Space group P4/mmm (No. 123)
Inequivalent atoms, fractional coordinates:
Ag  0.0000  0.0000  0.0000 x1
Pb  0.0000  0.5000  0.5000 x2